1.
! Mg2Mo PBE optimized geometry; values from VASP
&SYSTEM
  ibrav = 0, nat = 18, ntyp = 2
/
ATOMIC_SPECIES
Mo 95.94 Mo.upf
Mg 24.30 Mg.upf
ATOMIC_POSITIONS angstrom
Mo 0.000 0.000 10.098
Mo 1.314 2.277 5.049
Mo 0.000 0.000 0.000
Mo 2.629 0.000 0.000
Mo -1.314 2.277 10.098
Mo 0.000 0.000 5.049
Mg 1.314 2.277 11.043
Mg 1.295 0.748 2.525
Mg 1.333 3.805 2.525
Mg 0.000 1.496 7.574
Mg 3.962 0.748 12.623
Mg 2.629 0.000 5.993
Mg -1.314 2.277 0.944
Mg -1.333 3.805 12.623
Mg 1.314 2.277 14.204
Mg 2.629 0.000 9.154
Mg 2.629 3.058 7.574
Mg -1.314 2.277 4.105
CELL_PARAMETERS angstrom
5.258 0.000 0.000
-2.629 4.553 0.000
0.000 0.000 15.148
! calculated total energy	-4.16	eV per atom
! energy above the most stable polymorph in this dataset	249	meV/atom
! total magnetization	0.2	μB/f.u.

---

2.
! ScCdAu2 PBE optimized geometry; values from VASP
&SYSTEM
  ibrav = 0, nat = 4, ntyp = 3
/
ATOMIC_SPECIES
Au 196.97 Au.upf
Sc 44.96 Sc.upf
Cd 112.41 Cd.upf
ATOMIC_POSITIONS angstrom
Au 0.591 -1.074 2.645
Au 0.000 0.000 0.000
Sc 1.774 -3.223 7.934
Cd 1.182 -2.148 5.290
CELL_PARAMETERS angstrom
1.835 -3.697 2.373
2.412 0.725 4.039
-1.882 -1.325 4.167
! DFT formation energy	-0.47	eV per atom
! calculated total energy	-3.90	eV per atom
! total magnetization	0.0	μB/f.u.

---

3.
! KAgTeMoS2 PBE optimized geometry; values from VASP
&SYSTEM
  ibrav = 0, nat = 12, ntyp = 5
/
ATOMIC_SPECIES
Mo 95.94 Mo.upf
S 32.06 S.upf
K 39.10 K.upf
Ag 107.87 Ag.upf
Te 127.60 Te.upf
ATOMIC_POSITIONS angstrom
Mo 1.885 0.000 0.000
Mo 1.885 0.000 5.196
S 1.885 -6.251 0.384
S 1.885 6.251 5.580
S 1.885 -6.251 4.812
S 1.885 6.251 10.008
K 1.885 3.472 2.598
K 1.885 -3.472 7.794
Ag 1.885 7.252 7.794
Ag 1.885 -7.252 2.598
Te 1.885 1.410 7.794
Te 1.885 -1.410 2.598
CELL_PARAMETERS angstrom
1.885 -7.887 0.000
1.885 7.887 0.000
0.000 0.000 10.392
! calculated total energy	-4.74	eV per atom
! total magnetization	2.1	μB/f.u.